A plane-wave DFT calculation with GGA-PBE was carried out for a relaxed SmLu2Pb crystal.

Cell and atoms, written as CIF:
```
data_SmLu2Pb
_chemical_formula_sum 'Sm1 Lu2 Pb1'
_cell_length_a 4.8476
_cell_length_b 4.8476
_cell_length_c 4.8087
_cell_angle_alpha 90.00
_cell_angle_beta 90.00
_cell_angle_gamma 90.00
_space_group_name_H-M_alt 'P 4/m m m'
_space_group_IT_number 123
_space_group_name_Hall '-P 4 2'
loop_
_atom_site_label
_atom_site_fract_x
_atom_site_fract_y
_atom_site_fract_z
Sm1 0.0000 0.0000 0.0000
Lu1 0.0000 0.5000 0.5000
Pb1 0.5000 0.5000 0.0000
```

offset from the most stable computed form = 0.0 meV per atom
formation enthalpy at 0 K = -0.25 eV per atom
calculated total energy = -4.617 eV per atom
V = 28.2 Å³ per atom

A plane-wave DFT calculation with GGA-PBE was carried out for a relaxed Sm2LuPb crystal.

Cell and atoms, written as CIF:
```
data_Sm2LuPb
_chemical_formula_sum 'Sm8 Lu4 Pb4'
_cell_length_a 7.8155
_cell_length_b 7.8155
_cell_length_c 7.8155
_cell_angle_alpha 90.00
_cell_angle_beta 90.00
_cell_angle_gamma 90.00
_space_group_name_H-M_alt 'F m -3 m'
_space_group_IT_number 225
_space_group_name_Hall '-F 4 2 3'
loop_
_atom_site_label
_atom_site_fract_x
_atom_site_fract_y
_atom_site_fract_z
Sm1 0.2500 0.2500 0.2500
Lu1 0.0000 0.0000 0.0000
Pb1 0.0000 0.0000 0.5000
```

offset from the most stable computed form = 149.0 meV per atom
formation enthalpy at 0 K = -0.14 eV per atom
calculated total energy = -4.553 eV per atom
V = 29.8 Å³ per atom

A plane-wave DFT calculation with GGA-PBE was carried out for a relaxed Sm2LuPb crystal.

Cell and atoms, written as CIF:
```
data_Sm2LuPb
_chemical_formula_sum 'Sm6 Lu3 Pb3'
_cell_length_a 3.5537
_cell_length_b 3.5537
_cell_length_c 36.3569
_cell_angle_alpha 90.00
_cell_angle_beta 90.00
_cell_angle_gamma 120.00
_space_group_name_H-M_alt 'R -3 m'
_space_group_IT_number 166
_space_group_name_Hall '-R 3 2"'
loop_
_atom_site_label
_atom_site_fract_x
_atom_site_fract_y
_atom_site_fract_z
Sm1 0.0000 0.0000 0.0890
Lu1 0.0000 0.0000 0.5000
Pb1 0.0000 0.0000 0.0000
```

offset from the most stable computed form = 323.2 meV per atom
formation enthalpy at 0 K = 0.04 eV per atom
calculated total energy = -4.379 eV per atom
V = 33.1 Å³ per atom

A plane-wave DFT calculation with GGA-PBE was carried out for a relaxed SmLuSnPb crystal.

Cell and atoms, written as CIF:
```
data_SmLuSnPb
_chemical_formula_sum 'Sm4 Lu4 Sn4 Pb4'
_cell_length_a 7.6546
_cell_length_b 7.6546
_cell_length_c 7.6546
_cell_angle_alpha 90.00
_cell_angle_beta 90.00
_cell_angle_gamma 90.00
_space_group_name_H-M_alt 'F -4 3 m'
_space_group_IT_number 216
_space_group_name_Hall 'F -4 2 3'
loop_
_atom_site_label
_atom_site_fract_x
_atom_site_fract_y
_atom_site_fract_z
Sm1 0.0000 0.0000 0.0000
Lu1 0.0000 0.0000 0.5000
Sn1 0.2500 0.2500 0.7500
Pb1 0.2500 0.2500 0.2500
```

formation enthalpy at 0 K = -0.43 eV per atom
calculated total energy = -4.672 eV per atom
V = 28.0 Å³ per atom